A plane-wave DFT calculation with GGA+U was carried out for LiTeMoO5 after structural relaxation.

Calculated values
* magnetic moment: 1.996 μB per cell
* energy: -6.044 eV per atom

a = 5.745 Å, b = 5.745 Å, c = 7.700 Å
α = 108.93°, β = 108.93°, γ = 96.43°
Positions (direct):
Li  0.075  0.925  0.750
Li  0.925  0.075  0.250
Te  0.428  0.572  0.750
Te  0.572  0.428  0.250
Mo  0.000  0.500  0.000
Mo  0.500  0.000  0.500
O  0.160  0.646  0.847
O  0.238  0.257  0.992
O  0.257  0.238  0.492
O  0.269  0.731  0.250
O  0.354  0.840  0.653
O  0.646  0.160  0.347
O  0.731  0.269  0.750
O  0.743  0.762  0.508
O  0.762  0.743  0.008
O  0.840  0.354  0.153